(1)
The following is a DFT calculation (PBE) of a relaxed SrHf2PtO8 crystal.

## Properties
Electronic total energy (eV per atom): -7.837
E_form (uncorrected) (eV/atom): -2.229
Density of states at the Fermi level (states/eV/f.u.): 7.213
Mass density (g cm⁻³): 7.8

POSCAR file:
```
SrHf2PtO8
1.0
4.947 0.060 -0.003
0.096 4.918 -0.005
0.004 0.007 6.677
Sr Hf Pt O
1 2 1 8
direct
0.000 0.000 0.500
0.500 0.500 0.745
0.500 0.500 0.255
0.000 0.000 0.000
0.204 0.788 0.203
0.711 0.717 0.000
0.796 0.212 0.203
0.796 0.212 0.797
0.289 0.283 0.000
0.204 0.788 0.797
0.667 0.676 0.500
0.333 0.324 0.500
```

(2)
The following is a DFT calculation (PBE) of a relaxed Li3Pm4Rh2 crystal.

## Properties
Electronic total energy (eV per atom): -4.701
ΔE_f (kcal/mol of atoms): -7.33
Density of states at the Fermi level (states/eV/f.u.): 5.594
Mass density (g cm⁻³): 6.4

POSCAR file:
```
Li3Pm4Rh2
1.0
-1.158 -4.709 0.688
2.254 -2.588 3.495
-7.155 2.725 6.639
Li Pm Rh
3 4 2
direct
0.333 0.333 0.472
0.000 0.000 0.000
0.667 0.667 0.528
0.667 0.667 0.116
0.000 0.000 0.683
0.000 0.000 0.317
0.333 0.333 0.884
0.333 0.333 0.187
0.667 0.667 0.813
```